Computed, not measured: crystalline Li7ZnAu3 at its relaxed geometry at the PBE level of DFT.

Cell and atoms, written as POSCAR:
```
Li7ZnAu3
1.0
2.8936 0.0000 0.0000
-1.4468 10.4757 0.0000
0.0000 0.0000 12.2635
Li Zn Au
14 2 6
Cartesian
0.0000 6.5696 9.1976 Li
1.4468 3.9061 3.0659 Li
1.4468 1.1083 4.5397 Li
0.0000 9.3673 7.7238 Li
0.0000 9.3673 10.6715 Li
1.4468 1.1083 1.5920 Li
0.0000 8.5623 4.9872 Li
1.4468 1.9133 7.2763 Li
0.0000 5.8577 4.9590 Li
1.4468 4.6180 7.3045 Li
1.4468 4.6180 11.0908 Li
0.0000 5.8577 1.1727 Li
0.0000 8.5623 1.1445 Li
1.4468 1.9133 11.1190 Li
1.4468 9.8204 3.0659 Zn
0.0000 0.6552 9.1976 Zn
0.0000 3.2372 5.3594 Au
1.4468 7.2384 6.9042 Au
0.0000 3.3668 9.1976 Au
1.4468 7.1089 3.0659 Au
0.0000 3.2372 0.7724 Au
1.4468 7.2384 11.4911 Au
```

## Properties
- Raw total energy: -2.5937 eV per atom
- Space group: Cmcm (63)

***

Computed, not measured: crystalline Li3ZnAu3 at its relaxed geometry at the PBE level of DFT.

Cell and atoms, written as POSCAR:
```
Li3ZnAu3
1.0
-2.1480 -3.6897 -3.5346
5.5225 -0.1441 -0.4493
0.2442 -5.7228 5.9693
Li Zn Au
6 2 6
Cartesian
1.9319 -3.8443 -0.3852 Li
4.3440 -3.6067 2.0122 Li
-0.7252 -5.9499 -0.0268 Li
3.7745 -0.9521 -1.1524 Li
-0.3999 -2.8817 -2.8315 Li
1.6869 -5.7123 2.3706 Li
2.5888 -8.2626 3.0591 Zn
1.0300 -1.2939 -1.0737 Zn
3.3396 -5.0283 -2.5241 Au
0.9090 -7.9386 0.8009 Au
4.4545 -6.2997 2.2270 Au
2.7097 -1.6180 1.1846 Au
-0.8357 -3.2568 -0.2415 Au
0.2792 -4.5282 4.5096 Au
```

## Properties
- E above lowest polymorph: 0.036 eV/atom
- Space group: C2/m (12)

***

no.,spin magnetization (μB per formula unit)
1,0.000
2,0.000